No. 1
Computed, not measured: Ba4PF5 after structural relaxation at the GGA-PBE level of DFT.

Cell lengths 8.739, 8.739, 7.907 Å; angles 116.84, 116.84, 28.95 degrees
Atoms (fractional coordinates):
Ba: 0.000 0.000 0.232
Ba: 0.000 0.000 0.768
Ba: 0.291 0.291 0.291
Ba: 0.709 0.709 0.709
P: 0.500 0.500 0.500
F: 0.180 0.180 0.462
F: 0.180 0.180 0.899
F: 0.500 0.500 0.000
F: 0.820 0.820 0.101
F: 0.820 0.820 0.538

Computed properties:
For the uncorrected formation energy, the calculation gives -30.559 eV/f.u. The calculated total energy is -53.02 eV/cell. As for the magnetic moment: 0.0 Bohr magnetons per cell.

***

No. 2
Computed, not measured: Ba2PF after structural relaxation at the GGA-PBE level of DFT.

Cell lengths 7.964, 7.964, 7.964 Å; angles 32.33, 32.33, 32.33 degrees
Atoms (fractional coordinates):
Ba: 0.000 0.000 0.000
Ba: 0.175 0.175 0.175
P: 0.583 0.583 0.583
F: 0.399 0.399 0.399

Computed properties:
For the uncorrected formation energy, the calculation gives -7.659 eV/f.u. The energy above the most stable polymorph in this dataset comes out at 0.37 eV/f.u. The calculated total energy is -18.79 eV/cell. As for the magnetic moment: 0.0 Bohr magnetons per cell.